# PBE Li2SnCl4, optimized geometry
data_Li2SnCl4
_cell_length_a 7.2110
_cell_length_b 7.4243
_cell_length_c 7.8648
_cell_angle_alpha 107.73
_cell_angle_beta 106.60
_cell_angle_gamma 111.39
_symmetry_space_group_name_H-M 'P 1'
_symmetry_Int_Tables_number 1
_symmetry_space_group_name_Hall 'P 1'
loop_
_atom_site_label
_atom_site_fract_x
_atom_site_fract_y
_atom_site_fract_z
Li1 0.0000 0.0000 0.0000
Li2 0.0033 0.9391 0.5008
Li3 0.4265 0.9263 0.8528
Li4 0.9287 0.3649 0.3520
Sn1 0.3597 0.6113 0.1805
Sn2 0.6044 0.3561 0.6722
Cl1 0.1257 0.7132 0.9356
Cl2 0.1886 0.1902 0.3756
Cl3 0.2394 0.7409 0.4771
Cl4 0.2436 0.1553 0.8490
Cl5 0.6166 0.7039 0.9177
Cl6 0.6964 0.0337 0.3973
Cl7 0.7257 0.5629 0.4561
Cl8 0.8204 0.2322 0.0035
# - formation energy from raw total energies (kJ/mol of formula units) = -968
# - energy above the most stable polymorph in this dataset (meV per atom) = 0.0
# - density of states at the Fermi level (states/eV per cell) = 0.00
# - magnetic moment (μB/cell) = 0.0
# - calculated density (g/cm³) = 2.73
# - total DFT energy (no corrections) (eV/atom) = -3.61